No. 1
Density functional theory data (GGA-PBE) for crystalline TbHoBeCu at its relaxed geometry.

Unit cell a=4.870 b=4.870 c=4.870 alpha=60.00 beta=60.00 gamma=60.00
Fractional positions:
Tb 0.000 0.000 0.000
Ho 0.500 0.500 0.500
Be 0.250 0.250 0.250
Cu 0.750 0.750 0.750

## Properties
Total energy ... -17.28 eV for the cell shown
E_form ... -0.063 eV per atom
SG ... F-43m, No. 216


No. 2
Density functional theory data (GGA-PBE) for crystalline HoTmBeCu at its relaxed geometry.

Unit cell a=4.821 b=4.821 c=4.821 alpha=60.00 beta=60.00 gamma=60.00
Fractional positions:
Ho 0.000 0.000 0.000
Tm 0.500 0.500 0.500
Be 0.750 0.750 0.750
Cu 0.250 0.250 0.250

## Properties
Total energy ... -17.23 eV for the cell shown
E_form ... -0.088 eV per atom
SG ... F-43m, No. 216


Q: Which of these has the highest E_form?
A: TbHoBeCu